Ti4NbIr | PBE | relaxed

Lattice parameters (Å, degrees): 4.435 5.310 5.324 64.40 65.38 65.31
Atoms (fractional coordinates):
Ir  0.000  0.000  0.000
Ti  0.323  0.531  0.823
Ti  0.660  0.992  0.687
Ti  0.677  0.469  0.177
Ti  0.340  0.008  0.313
Nb  0.000  0.500  0.500

Results
Its space group is C2/m (12). As for the offset from the most stable computed form: 0.000 eV/atom. The formation energy is -0.363 eV per atom. For the density of states at the Fermi level, the calculation gives 7.76 states/eV per cell.